Record 1
VASP calculation (PBE) on a geometry-optimized AcP2RuRh structure.

a = 4.0009 Å, b = 4.0009 Å, c = 11.8176 Å
α = 90.00°, β = 90.00°, γ = 90.00°
With the nearest neighbours (Å) after each atom.
Space group I-4m2 (No. 119)
One atom of each set of equivalent atoms:
1 Ac 0.0000 0.0000 0.0000  8 P 3.31, 4 Ru 3.57, 4 Rh 3.57
2 P 0.0000 0.0000 0.3553  2 Ru 2.36, 2 Rh 2.36
3 Ru 0.0000 0.5000 0.7500  4 P 2.36
4 Rh 0.0000 0.5000 0.2500  4 P 2.36

Results
- energy relative to the elements (kJ/mol of atoms) = -100
- uncorrected energy (eV/atom) = -7.349



Record 2
VASP calculation (PBE) on a geometry-optimized AcP2RhS8 structure.

a = 5.8164 Å, b = 5.8164 Å, c = 8.4517 Å
α = 90.00°, β = 90.00°, γ = 120.00°
With the nearest neighbours (Å) after each atom.
Space group P-3 (No. 147)
One atom of each set of equivalent atoms:
1 Ac 0.0000 0.0000 0.0000  12 S 3.27-3.36
2 P 0.3333 0.6667 0.7388  4 S 2.04-2.09
3 Rh 0.0000 0.0000 0.5000  6 S 2.39
4 S 0.0089 0.6876 0.3202  1 P 2.09
5 S 0.3333 0.6667 0.9801  1 P 2.04

Results
- uncorrected energy (eV/atom) = -5.277



Record 3
VASP calculation (PBE) on a geometry-optimized Ac6P2RhS3 structure.

a = 19.0085 Å, b = 4.3491 Å, c = 8.8479 Å
α = 90.00°, β = 103.24°, γ = 90.00°
With the nearest neighbours (Å) after each atom.
Space group C2/m (No. 12)
One atom of each set of equivalent atoms:
1 Ac 0.0006 0.0000 0.2437  1 P 3.06, 2 Rh 3.06, 3 S 3.14
2 Ac 0.1623 0.5000 0.0866  1 Rh 3.00, 2 P 3.08, 3 S 3.12-3.15
3 Ac 0.1687 0.5000 0.5808  3 P 3.06-3.07, 3 S 3.12
4 P 0.1658 0.0000 0.3348  6 Ac 3.06-3.08
5 Rh 0.0000 0.5000 0.0000  6 Ac 3.00-3.06
6 S 0.0000 0.5000 0.5000  6 Ac 3.12-3.14
7 S 0.1693 0.0000 0.8336  6 Ac 3.12-3.15

Results
- uncorrected energy (eV/atom) = -6.215



Record 4
VASP calculation (PBE) on a geometry-optimized Ac8P3RhS4 structure.

a = 8.7653 Å, b = 8.7653 Å, c = 21.4243 Å
α = 90.00°, β = 90.00°, γ = 120.00°
With the nearest neighbours (Å) after each atom.
Space group R-3m (No. 166, hexagonal axes)
One atom of each set of equivalent atoms:
1 Ac 0.0000 0.0000 0.2482  3 P 3.08, 3 S 3.12
2 Ac 0.0029 0.5015 0.2472  1 Rh 3.04, 2 P 3.07, 3 S 3.12-3.15
3 P 0.0000 0.5000 0.5000  6 Ac 3.07-3.08
4 Rh 0.0000 0.0000 0.5000  6 Ac 3.04
5 S 0.0000 0.0000 0.0000  6 Ac 3.15
6 S 0.0000 0.5000 0.0000  6 Ac 3.12

Results
- uncorrected energy (eV/atom) = -6.211